Entry 1:
8
Lattice="4.220 0.000 0.000 0.000 4.220 0.000 0.000 0.000 9.657" Properties=species:S:1:pos:R:3 comment="TbBiPO PBE relaxed" relative_energy_ev_per_atom=0.004 density_g_cm3=8.011 pbc="T T T"
Tb 1.055 1.055 0.934
Tb 3.165 3.165 8.723
Bi 1.055 3.165 4.829
Bi 3.165 1.055 4.829
P 1.055 1.055 7.092
P 3.165 3.165 2.566
O 1.055 3.165 0.000
O 3.165 1.055 0.000

Entry 2:
8
Lattice="4.949 0.000 0.000 0.000 6.344 0.000 0.000 0.000 6.182" Properties=species:S:1:pos:R:3 comment="TbBiPO PBE relaxed" relative_energy_ev_per_atom=0.095 density_g_cm3=7.099 pbc="T T T"
Tb 0.000 1.128 0.000
Tb 0.000 5.216 3.091
Bi 2.474 1.565 2.485
Bi 2.474 4.779 5.576
P 2.474 2.047 5.281
P 2.474 4.297 2.189
O 0.000 0.794 2.138
O 0.000 5.550 5.229

Entry 3:
8
Lattice="4.215 0.000 0.000 0.000 4.215 0.000 0.000 0.000 9.443" Properties=species:S:1:pos:R:3 comment="TmBiPO PBE relaxed" relative_energy_ev_per_atom=0.046 density_g_cm3=8.410 pbc="T T T"
Tm 1.054 1.054 0.822
Tm 3.162 3.162 8.621
Bi 1.054 3.162 4.721
Bi 3.162 1.054 4.721
P 1.054 1.054 6.991
P 3.162 3.162 2.452
O 1.054 3.162 0.000
O 3.162 1.054 0.000

Entry 4:
8
Lattice="5.433 0.000 0.000 0.000 5.433 0.000 0.000 0.000 5.386" Properties=species:S:1:pos:R:3 comment="TmBiPO PBE relaxed" relative_energy_ev_per_atom=0.281 density_g_cm3=8.876 pbc="T T T"
Tm 1.358 4.075 0.000
Tm 4.075 1.358 0.000
Bi 1.358 1.358 2.676
Bi 4.075 4.075 2.710
P 1.358 1.358 5.364
P 4.075 4.075 0.021
O 1.358 4.075 2.693
O 4.075 1.358 2.693

> Number 1 is which compound?

TbBiPO